No. 1
Material: NaFeCo
Method: DFT, PBE
State: relaxed

Cell lengths 4.959, 4.959, 8.675 Å; angles 90.00, 90.00, 120.00 degrees
Last column: magnetic moment on the atom in μB.
Element x y z (fractional)
Fe 0.000 0.000 0.250  2.91
Na 0.667 0.333 0.750  -0.02
Na 0.333 0.667 0.250  -0.02
Co 0.000 0.000 0.000  1.89
Co 0.000 0.000 0.500  1.87
Fe 0.000 0.000 0.750  2.91

Calculated density, Mg/m³: 2.5
Space group: P6_3/mmc, No. 194
Fermi-level density of states, states/eV/cell: 9.16
Spin magnetization, Bohr magnetons per cell: 9.59
Offset from the most stable computed form, meV/atom: 1405
DFT formation energy, eV/atom: 1.680

=====

No. 2
Material: NaFeCo
Method: DFT, PBE
State: relaxed

Cell lengths 4.323, 4.323, 2.441 Å; angles 90.00, 90.00, 120.00 degrees
Element x y z (fractional)
Fe 0.000 0.000 0.000
Na 0.667 0.333 0.500
Co 0.333 0.667 0.000

Calculated density, Mg/m³: 5.8
Space group: P-6m2, No. 187
Fermi-level density of states, states/eV/cell: 6.11
Spin magnetization, Bohr magnetons per cell: 0.00
Offset from the most stable computed form, meV/atom: 801
DFT formation energy, eV/atom: 1.076

=====

No. 3
Material: NaFe3Co
Method: DFT, PBE
State: relaxed

Cell lengths 4.449, 4.449, 4.449 Å; angles 90.00, 90.00, 90.00 degrees
Last column: magnetic moment on the atom in μB.
Element x y z (fractional)
Fe 0.000 0.000 0.500  3.29
Co 0.000 0.000 0.000  1.46
Fe 0.000 0.500 0.000  3.11
Na 0.500 0.500 0.500  -0.02
Fe 0.500 0.000 0.000  2.51

Calculated density, Mg/m³: 4.7
Space group: Pm-3m, No. 221
Fermi-level density of states, states/eV/cell: 5.15
Spin magnetization, Bohr magnetons per cell: 10.26
DFT formation energy, eV/atom: 0.899

=====

No. 4
Material: NaFeCo
Method: DFT, PBE
State: relaxed

Cell lengths 3.658, 3.660, 6.630 Å; angles 90.00, 105.99, 90.00 degrees
Element x y z (fractional)
Na 0.612 0.851 0.559
Fe 0.312 0.851 0.957
Co 0.921 0.851 0.175
Na 0.113 0.351 0.559
Fe 0.812 0.351 0.957
Co 0.421 0.351 0.175

Calculated density, Mg/m³: 5.4
Space group: I4mm, No. 107
Fermi-level density of states, states/eV/cell: 14.96
Spin magnetization, Bohr magnetons per cell: 0.00
Offset from the most stable computed form, meV/atom: 400
DFT formation energy, eV/atom: 0.675

=====

No. 5
Material: NaFeCo
Method: DFT, PBE
State: relaxed

Cell lengths 6.994, 3.892, 6.306 Å; angles 90.00, 90.00, 90.00 degrees
Element x y z (fractional)
Na 0.499 0.250 0.647
Fe 0.154 0.750 0.586
Co 0.841 0.750 0.593
Fe 0.654 0.750 0.914
Co 0.159 0.250 0.407
Na 0.501 0.750 0.353
Co 0.341 0.750 0.907
Fe 0.846 0.250 0.414
Co 0.659 0.250 0.093
Fe 0.346 0.250 0.086
Na 0.001 0.750 0.147
Na 0.999 0.250 0.853

Calculated density, Mg/m³: 5.3
Space group: Pnma, No. 62
Fermi-level density of states, states/eV/cell: 12.45
Spin magnetization, Bohr magnetons per cell: 0.00
Offset from the most stable computed form, meV/atom: 474
DFT formation energy, eV/atom: 0.749

=====

No. 6
Material: NaFe2Co
Method: DFT, PBE
State: relaxed

Cell lengths 4.111, 4.111, 4.111 Å; angles 60.00, 60.00, 60.00 degrees
Last column: magnetic moment on the atom in μB.
Element x y z (fractional)
Fe 0.750 0.750 0.750  -0.64
Co 0.500 0.500 0.500  1.18
Fe 0.250 0.250 0.250  -0.64
Na 0.000 0.000 0.000  0.00

Calculated density, Mg/m³: 6.5
Space group: Fm-3m, No. 225
Fermi-level density of states, states/eV/cell: 13.21
Spin magnetization, Bohr magnetons per cell: 0.14
Offset from the most stable computed form, meV/atom: 292
DFT formation energy, eV/atom: 1.155

=====

Among the records above, which one has the lowest Fermi-level density of states?
NaFe3Co

=====

What is the DFT formation energy in the third record?
0.899 eV/atom